1.
Cu2NiPdN: optimized geometry, PBE.

ΔE_f (raw), eV per atom: 1.85
Polymorph energy (0 for the lowest one), eV per atom: 1.794
VASP energy, eV per atom: -3.6440

abc: 4.384 4.524 4.384
angles: 90.00 90.00 90.00
Site moments in Bohr magnetons follow the coordinates.
Fractional coordinates of all 5 atoms:
Ni (0.000, 0.000, 0.000)  0.66
Cu (0.000, 0.000, 0.500)  0.11
Cu (0.500, 0.000, 0.000)  0.04
Pd (0.000, 0.500, 0.000)  0.32
N (0.500, 0.500, 0.500)  1.31

=====

2.
La8RhN4: optimized geometry, PBE.

ΔE_f (raw), eV per atom: -0.81
VASP energy, eV per atom: -6.9673

abc: 7.766 7.766 7.766
angles: 60.00 60.00 60.00
Fractional coordinates of all 13 atoms:
La (0.582, 0.139, 0.139)
La (0.139, 0.582, 0.139)
La (0.139, 0.139, 0.582)
La (0.139, 0.139, 0.139)
La (0.175, 0.608, 0.608)
La (0.608, 0.175, 0.608)
La (0.608, 0.608, 0.175)
La (0.608, 0.608, 0.608)
Rh (0.750, 0.750, 0.750)
N (0.884, 0.372, 0.372)
N (0.372, 0.884, 0.372)
N (0.372, 0.372, 0.884)
N (0.372, 0.372, 0.372)

=====

3.
NdSmDy5Ho2: optimized geometry, PBE.

DFT formation energy, kJ/mol of atoms: 27.7
VASP energy, eV per atom: -4.3410

abc: 8.973 8.973 9.688
angles: 117.59 117.59 90.00
Fractional coordinates of all 18 atoms:
Nd (0.250, 0.250, 0.500)
Nd (0.750, 0.750, 0.500)
Sm (0.250, 0.750, 0.500)
Sm (0.750, 0.250, 0.500)
Dy (0.928, 0.428, 0.262)
Dy (0.666, 0.166, 0.738)
Dy (0.072, 0.572, 0.738)
Dy (0.166, 0.072, 0.738)
Dy (0.572, 0.666, 0.738)
Dy (0.834, 0.928, 0.262)
Dy (0.428, 0.334, 0.262)
Dy (0.334, 0.834, 0.262)
Dy (0.500, 0.500, 0.000)
Dy (0.000, 0.000, 0.000)
Ho (0.113, 0.387, 0.000)
Ho (0.613, 0.113, 0.000)
Ho (0.387, 0.887, 0.000)
Ho (0.887, 0.613, 0.000)

=====

Number 1: calculated volume 86.95 Å³/cell, DOS at the Fermi energy 7.20 states/eV/cell. Number 2: calculated volume 331.15 Å³/cell, DOS at the Fermi energy 14.30 states/eV/cell. Number 3: calculated volume 589.52 Å³/cell, DOS at the Fermi energy 24.23 states/eV/cell.